[1]
BPBr6: optimized geometry, PBE-GGA.

a = 7.638 Å, b = 11.814 Å, c = 13.379 Å
α = 90.00°, β = 90.00°, γ = 90.00°
Atoms (fractional coordinates):
P 0.674 0.750 0.907
P 0.826 0.750 0.407
P 0.326 0.250 0.093
P 0.174 0.250 0.593
B 0.418 0.750 0.865
B 0.082 0.750 0.365
B 0.582 0.250 0.135
B 0.918 0.250 0.635
Br 0.857 0.750 0.781
Br 0.643 0.750 0.281
Br 0.143 0.250 0.219
Br 0.357 0.250 0.719
Br 0.289 0.750 0.995
Br 0.211 0.750 0.495
Br 0.711 0.250 0.005
Br 0.789 0.250 0.505
Br 0.391 0.892 0.786
Br 0.109 0.608 0.286
Br 0.609 0.392 0.214
Br 0.891 0.108 0.714
Br 0.609 0.108 0.214
Br 0.891 0.392 0.714
Br 0.391 0.608 0.786
Br 0.109 0.892 0.286
Br 0.742 0.899 0.998
Br 0.758 0.601 0.498
Br 0.258 0.399 0.002
Br 0.242 0.101 0.502
Br 0.258 0.101 0.002
Br 0.242 0.399 0.502
Br 0.742 0.601 0.998
Br 0.758 0.899 0.498

Its total energy is -3.2079 eV per atom. The space group is Pnma (62). Its density of states at the Fermi level is 0.00 states/eV per cell. The total magnetization comes out at 0.0 μB/f.u.

***

[2]
Nb2RuRh2: optimized geometry, PBE-GGA.

a = 7.188 Å, b = 7.188 Å, c = 3.153 Å
α = 90.00°, β = 90.00°, γ = 90.00°
Atoms (fractional coordinates):
Ru 0.000 0.000 0.000
Ru 0.500 0.500 0.000
Nb 0.175 0.675 0.500
Nb 0.675 0.825 0.500
Nb 0.825 0.325 0.500
Nb 0.325 0.175 0.500
Rh 0.371 0.871 0.000
Rh 0.871 0.629 0.000
Rh 0.629 0.129 0.000
Rh 0.129 0.371 0.000

The formation energy comes out at -135 meV per atom. The space group is P4/mbm (127). Its density of states at the Fermi level is 10.62 states/eV per cell. The calculation puts the energy relative to the lowest polymorph listed for this composition at 180 meV/atom. The total magnetization comes out at 0.0 μB/f.u.

***

[3]
AlReTcOs: optimized geometry, PBE-GGA.

a = 4.336 Å, b = 4.336 Å, c = 4.336 Å
α = 60.00°, β = 60.00°, γ = 60.00°
Atoms (fractional coordinates):
Re 0.000 0.000 0.000
Os 0.750 0.750 0.750
Tc 0.250 0.250 0.250
Al 0.500 0.500 0.500

The formation energy comes out at -121 meV per atom. The space group is F-43m (216). Its density of states at the Fermi level is 2.03 states/eV per cell. The total magnetization comes out at 0.0 μB/f.u.

***

[4]
ZnSb2ICl: optimized geometry, PBE-GGA.

a = 5.311 Å, b = 5.478 Å, c = 5.311 Å
α = 90.00°, β = 90.00°, γ = 90.00°
Atoms (fractional coordinates):
I 0.000 0.500 0.000
Sb 0.000 0.000 0.500
Sb 0.500 0.000 0.000
Zn 0.000 0.000 0.000
Cl 0.500 0.500 0.500

The space group is P4/mmm (123). Its density of states at the Fermi level is 3.57 states/eV per cell. The calculation puts the energy relative to the lowest polymorph listed for this composition at 0 meV/atom. The total magnetization comes out at 0.0 μB/f.u.

***

[5]
AlRe2Os: optimized geometry, PBE-GGA.

a = 4.036 Å, b = 2.806 Å, c = 5.883 Å
α = 61.49°, β = 90.00°, γ = 90.00°
Atoms (fractional coordinates):
Re 0.000 0.989 0.011
Re 0.000 0.511 0.489
Os 0.500 0.750 0.750
Al 0.500 0.250 0.250

The formation energy comes out at -33 meV per atom. The space group is Pmmm (47). Its density of states at the Fermi level is 1.84 states/eV per cell. The total magnetization comes out at 0.0 μB/f.u.

***

[6]
TbZnPd: optimized geometry, PBE-GGA.

a = 4.443 Å, b = 5.488 Å, c = 5.862 Å
α = 74.11°, β = 67.73°, γ = 66.12°
Atoms (fractional coordinates):
Tb 0.551 0.203 0.696
Tb 0.449 0.797 0.304
Zn 0.835 0.231 0.100
Zn 0.165 0.769 0.900
Pd 0.169 0.370 0.293
Pd 0.831 0.630 0.707

The formation energy comes out at -700 meV per atom. The space group is C2/m (12). Its density of states at the Fermi level is 2.71 states/eV per cell. The total magnetization comes out at 0.0 μB/f.u.

***

[7]
ZrHI3: optimized geometry, PBE-GGA.

a = 5.043 Å, b = 5.043 Å, c = 5.043 Å
α = 90.00°, β = 90.00°, γ = 90.00°
Last column: magnetic moment on the atom in μB.
Atoms (fractional coordinates):
I 0.000 0.500 0.000  -0.09
I 0.000 0.000 0.500  -0.06
I 0.500 0.000 0.000  -0.05
H 0.000 0.000 0.000  0.04
Zr 0.500 0.500 0.500  1.16

The space group is Pm-3m (221). Its density of states at the Fermi level is 5.10 states/eV per cell. The calculation puts the energy relative to the lowest polymorph listed for this composition at 1356 meV/atom. The total magnetization comes out at 1.6 μB/f.u.

***

[8]
SmCuSnAu: optimized geometry, PBE-GGA.

a = 4.930 Å, b = 4.930 Å, c = 4.930 Å
α = 60.00°, β = 60.00°, γ = 60.00°
Atoms (fractional coordinates):
Cu 0.000 0.000 0.000
Au 0.500 0.500 0.500
Sn 0.250 0.250 0.250
Sm 0.750 0.750 0.750

The formation energy comes out at -499 meV per atom. The space group is F-43m (216). Its density of states at the Fermi level is 1.55 states/eV per cell. The total magnetization comes out at 0.0 μB/f.u.